# 1
Below is a relaxed PIrS2Cl crystal, with properties calculated at the PBE level.

```
PIrS2Cl
1.0
4.639 0.000 0.000
0.000 4.639 0.000
0.000 0.000 4.675
P Ir S Cl
1 1 2 1
Cartesian
0.000 0.000 0.000
2.320 2.320 2.338
0.000 2.320 2.338
2.320 0.000 2.338
2.320 2.320 0.000
```

## Properties
- Symmetry: No. 123
- Formation energy without anion corrections: 0.763 eV per atom

***

# 2
Below is a relaxed TaNb3Al crystal, with properties calculated at the PBE level.

```
TaNb3Al
1.0
5.511 0.000 0.000
0.000 4.585 0.000
-1.417 0.000 7.041
Ta Nb Al
2 6 2
Cartesian
0.742 1.146 0.369
3.353 3.438 6.672
-0.265 3.438 2.430
0.323 3.438 5.221
2.260 3.438 1.082
1.834 1.146 5.959
3.771 1.146 1.820
4.360 1.146 4.611
1.270 1.146 3.158
2.825 3.438 3.883
```

## Properties
- Symmetry: No. 11
- ΔE_f: -2.37 kcal/mol of atoms

***

# 3
Below is a relaxed LiZnSb crystal, with properties calculated at the PBE level.

```
LiZnSb
1.0
-1.583 1.583 6.173
1.583 -1.583 6.173
1.583 1.583 -6.173
Li Zn Sb
1 1 1
Cartesian
0.000 0.000 0.000
0.000 0.000 4.372
0.000 0.000 8.336
```

## Properties
- Symmetry: No. 107
- Formation energy without anion corrections: -0.094 eV per atom

***

# 4
Below is a relaxed NbBiSeN2 crystal, with properties calculated at the PBE level.

```
NbBiSeN2
1.0
4.140 0.000 0.000
0.000 4.140 0.000
0.000 0.000 5.290
Nb Bi Se N
1 1 1 2
Cartesian
0.000 0.000 0.000
2.070 2.070 2.645
0.000 0.000 2.645
0.000 2.070 0.000
2.070 0.000 0.000
```

## Properties
- Symmetry: No. 123
- Formation energy without anion corrections: 0.268 eV per atom

***

# 5
Below is a relaxed DyIn3Ag3 crystal, with properties calculated at the PBE level.

```
DyIn3Ag3
1.0
7.502 0.000 0.000
0.000 7.502 0.000
0.000 0.000 7.502
Dy In Ag
2 6 6
Cartesian
0.000 0.000 0.000
3.751 3.751 3.751
0.000 1.875 3.751
0.000 5.626 3.751
1.875 3.751 0.000
3.751 0.000 1.875
3.751 0.000 5.626
5.626 3.751 0.000
0.000 3.751 1.875
0.000 3.751 5.626
1.875 0.000 3.751
3.751 1.875 0.000
3.751 5.626 0.000
5.626 0.000 3.751
```

## Properties
- Symmetry: No. 223
- ΔE_f: 9.83 kcal/mol of atoms